Arrangement A

A plane-wave DFT calculation with GGA-PBE was carried out for a geometry-optimized Tb3Nd5Sm structure.

Results
Its density of states at the Fermi level is 57.966 states/eV per cell. The crystal system is monoclinic.

Geometry as CIF:
```
data_Tb3Nd5Sm
_space_group_name_H-M_alt 'C 1 2/m 1'
_space_group_IT_number 12
_space_group_name_Hall '-C 2y'
_cell_length_a 11.546
_cell_length_b 11.474
_cell_length_c 11.738
_cell_angle_alpha 90.00
_cell_angle_beta 116.04
_cell_angle_gamma 90.00
loop_
_atom_site_label
_atom_site_type_symbol
_atom_site_fract_x
_atom_site_fract_y
_atom_site_fract_z
Tb1 Tb 0.000 0.000 0.000
Tb2 Tb 0.000 0.000 0.500
Tb3 Tb 0.119 0.500 0.157
Tb4 Tb 0.207 0.000 0.348
Nd1 Nd 0.000 0.257 0.000
Nd2 Nd 0.027 0.500 0.381
Nd3 Nd 0.193 0.500 0.905
Nd4 Nd 0.206 0.233 0.647
Sm1 Sm 0.091 0.000 0.795
```

Arrangement B

A plane-wave DFT calculation with GGA-PBE was carried out for a geometry-optimized Tb3Nd5Sm structure.

Results
Its density of states at the Fermi level is 50.250 states/eV per cell. The crystal system is monoclinic.

Geometry as CIF:
```
data_Tb3Nd5Sm
_space_group_name_H-M_alt 'C 1 2/c 1'
_space_group_IT_number 15
_space_group_name_Hall '-C 2yc'
_cell_length_a 20.358
_cell_length_b 6.268
_cell_length_c 11.696
_cell_angle_alpha 90.00
_cell_angle_beta 122.18
_cell_angle_gamma 90.00
loop_
_atom_site_label
_atom_site_type_symbol
_atom_site_fract_x
_atom_site_fract_y
_atom_site_fract_z
Tb1 Tb 0.000 0.000 0.000
Tb2 Tb 0.177 0.222 0.030
Nd1 Nd 0.000 0.405 0.250
Nd2 Nd 0.140 0.322 0.654
Nd3 Nd 0.179 0.188 0.335
Sm1 Sm 0.000 0.110 0.750
```

Which structure is the least stable? The one labeled arrangement A.

Arrangement A

A plane-wave DFT calculation with GGA-PBE was carried out for a geometry-optimized Tb3Nd6Sm structure.

Results
Its density of states at the Fermi level is 63.799 states/eV per cell. The crystal system is orthorhombic.

Geometry as CIF:
```
data_Tb3Nd6Sm
_space_group_name_H-M_alt 'C m c 21'
_space_group_IT_number 36
_space_group_name_Hall 'C 2c -2'
_cell_length_a 9.864
_cell_length_b 21.507
_cell_length_c 6.495
_cell_angle_alpha 90.00
_cell_angle_beta 90.00
_cell_angle_gamma 90.00
loop_
_atom_site_label
_atom_site_type_symbol
_atom_site_fract_x
_atom_site_fract_y
_atom_site_fract_z
Tb1 Tb 0.000 0.080 0.000
Tb2 Tb 0.168 0.373 0.395
Nd1 Nd 0.000 0.200 0.710
Nd2 Nd 0.000 0.485 0.713
Nd3 Nd 0.174 0.219 0.233
Nd4 Nd 0.179 0.060 0.480
Sm1 Sm 0.000 0.343 0.920
```

Arrangement B

A plane-wave DFT calculation with GGA-PBE was carried out for a geometry-optimized Tb3Nd6Sm structure.

Results
Its density of states at the Fermi level is 55.365 states/eV per cell. The crystal system is orthorhombic.

Geometry as CIF:
```
data_Tb3Nd6Sm
_space_group_name_H-M_alt 'C m c 21'
_space_group_IT_number 36
_space_group_name_Hall 'C 2c -2'
_cell_length_a 11.045
_cell_length_b 19.357
_cell_length_c 6.413
_cell_angle_alpha 90.00
_cell_angle_beta 90.00
_cell_angle_gamma 90.00
loop_
_atom_site_label
_atom_site_type_symbol
_atom_site_fract_x
_atom_site_fract_y
_atom_site_fract_z
Tb1 Tb 0.000 0.116 0.000
Tb2 Tb 0.173 0.384 0.625
Nd1 Nd 0.000 0.220 0.438
Nd2 Nd 0.000 0.464 0.217
Nd3 Nd 0.169 0.040 0.535
Nd4 Nd 0.234 0.208 0.715
Sm1 Sm 0.000 0.306 0.975
```

Which structure is the least stable? The one labeled arrangement B.

Arrangement A

A plane-wave DFT calculation with GGA-PBE was carried out for a geometry-optimized Tb4Nd3Sm structure.

Results
Its density of states at the Fermi level is 24.829 states/eV per cell. The crystal system is orthorhombic.

Geometry as CIF:
```
data_Tb4Nd3Sm
_space_group_name_H-M_alt 'I m m m'
_space_group_IT_number 71
_space_group_name_Hall '-I 2 2'
_cell_length_a 3.484
_cell_length_b 11.743
_cell_length_c 13.178
_cell_angle_alpha 90.00
_cell_angle_beta 90.00
_cell_angle_gamma 90.00
loop_
_atom_site_label
_atom_site_type_symbol
_atom_site_fract_x
_atom_site_fract_y
_atom_site_fract_z
Tb1 Tb 0.000 0.248 0.134
Nd1 Nd 0.000 0.000 0.500
Nd2 Nd 0.000 0.500 0.258
Sm1 Sm 0.000 0.000 0.000
```

Arrangement B

A plane-wave DFT calculation with GGA-PBE was carried out for a geometry-optimized Tb4Nd3Sm structure.

Results
Its density of states at the Fermi level is 28.832 states/eV per cell. The crystal system is orthorhombic.

Geometry as CIF:
```
data_Tb4Nd3Sm
_space_group_name_H-M_alt 'P m n 21'
_space_group_IT_number 31
_space_group_name_Hall 'P 2ac -2'
_cell_length_a 11.631
_cell_length_b 7.336
_cell_length_c 6.330
_cell_angle_alpha 90.00
_cell_angle_beta 90.00
_cell_angle_gamma 90.00
loop_
_atom_site_label
_atom_site_type_symbol
_atom_site_fract_x
_atom_site_fract_y
_atom_site_fract_z
Tb1 Tb 0.000 0.122 0.000
Tb2 Tb 0.000 0.877 0.499
Tb3 Tb 0.250 0.122 0.332
Nd1 Nd 0.000 0.627 0.998
Nd2 Nd 0.250 0.373 0.833
Sm1 Sm 0.000 0.372 0.499
```

Which structure is the least stable? The one labeled arrangement A.

Arrangement A

A plane-wave DFT calculation with GGA-PBE was carried out for a geometry-optimized Tb3Nd2Sm2 structure.

Results
Its density of states at the Fermi level is 10.861 states/eV per cell. The crystal system is triclinic.

Geometry as CIF:
```
data_Tb3Nd2Sm2
_space_group_name_H-M_alt 'P -1'
_space_group_IT_number 2
_space_group_name_Hall '-P 1'
_cell_length_a 6.261
_cell_length_b 6.263
_cell_length_c 6.265
_cell_angle_alpha 99.66
_cell_angle_beta 99.64
_cell_angle_gamma 99.59
loop_
_atom_site_label
_atom_site_type_symbol
_atom_site_fract_x
_atom_site_fract_y
_atom_site_fract_z
Tb1 Tb 0.000 0.000 0.000
Tb2 Tb 0.142 0.284 0.571
Nd1 Nd 0.285 0.571 0.144
Sm1 Sm 0.427 0.858 0.714
```

Arrangement B

A plane-wave DFT calculation with GGA-PBE was carried out for a geometry-optimized Tb3Nd2Sm2 structure.

Results
Its density of states at the Fermi level is 22.694 states/eV per cell. The crystal system is monoclinic.

Geometry as CIF:
```
data_Tb3Nd2Sm2
_space_group_name_H-M_alt 'C 1 2/m 1'
_space_group_IT_number 12
_space_group_name_Hall '-C 2y'
_cell_length_a 16.938
_cell_length_b 3.520
_cell_length_c 8.851
_cell_angle_alpha 90.00
_cell_angle_beta 116.41
_cell_angle_gamma 90.00
loop_
_atom_site_label
_atom_site_type_symbol
_atom_site_fract_x
_atom_site_fract_y
_atom_site_fract_z
Tb1 Tb 0.000 0.000 0.000
Tb2 Tb 0.221 0.000 0.146
Nd1 Nd 0.079 0.000 0.704
Sm1 Sm 0.139 0.500 0.407
```

Which structure is the least stable? The one labeled arrangement B.